1.
{
  "formula": "La6Er8Mg",
  "functional": "GGA-PBE",
  "state": "optimized geometry",
  "lattice_angstrom": [[7.740, -0.265, 3.039], [1.977, 7.488, 3.039], [-0.357, -0.265, 8.308]],
  "species": ["La", "La", "La", "La", "La", "La", "Er", "Er", "Er", "Er", "Er", "Er", "Er", "Er", "Mg"],
  "fractional_positions": [[0.163, 0.432, 0.621], [0.379, 0.837, 0.568], [0.568, 0.379, 0.837], [0.432, 0.621, 0.163], [0.621, 0.163, 0.432], [0.837, 0.568, 0.379], [0.124, 0.634, 0.945], [0.055, 0.876, 0.366], [0.366, 0.055, 0.876], [0.764, 0.764, 0.764], [0.236, 0.236, 0.236], [0.634, 0.945, 0.124], [0.945, 0.124, 0.634], [0.876, 0.366, 0.055], [0.000, 0.000, 0.000]]
}

---

2.
{
  "formula": "La3Er2Mg2",
  "functional": "GGA-PBE",
  "state": "optimized geometry",
  "lattice_angstrom": [[-3.221, -0.677, -4.262], [-1.806, -2.457, 1.755], [-8.887, 7.995, 2.046]],
  "species": ["La", "La", "La", "Er", "Er", "Mg", "Mg"],
  "fractional_positions": [[0.850, 0.000, 0.300], [0.000, 0.000, 0.000], [0.150, 0.000, 0.700], [0.713, 0.500, 0.575], [0.287, 0.500, 0.425], [0.570, 0.500, 0.859], [0.430, 0.500, 0.141]]
}

---

3.
{
  "formula": "La5Er4Mg",
  "functional": "GGA-PBE",
  "state": "optimized geometry",
  "lattice_angstrom": [[3.745, 0.000, 0.000], [0.000, 3.745, 0.000], [0.000, 0.000, 23.779]],
  "species": ["La", "La", "La", "La", "La", "Er", "Er", "Er", "Er", "Mg"],
  "fractional_positions": [[0.500, 0.500, 0.092], [0.500, 0.500, 0.297], [0.500, 0.500, 0.500], [0.500, 0.500, 0.703], [0.500, 0.500, 0.908], [0.000, 0.000, 0.195], [0.000, 0.000, 0.398], [0.000, 0.000, 0.602], [0.000, 0.000, 0.805], [0.000, 0.000, 0.000]]
}

---

4.
{
  "formula": "LaErMg2",
  "functional": "GGA-PBE",
  "state": "optimized geometry",
  "polymorph_energy_mev_per_atom": 0,
  "lattice_angstrom": [[-3.704, -0.476, 3.987], [-0.219, -4.563, 2.994], [1.587, 0.083, 5.226]],
  "species": ["Mg", "Mg", "La", "Er"],
  "fractional_positions": [[0.250, 0.250, 0.250], [0.750, 0.750, 0.750], [0.000, 0.000, 0.000], [0.500, 0.500, 0.500]]
}

---

5.
{
  "formula": "La6Er2Mg",
  "functional": "GGA-PBE",
  "state": "optimized geometry",
  "lattice_angstrom": [[-3.463, 5.222, -0.514], [-2.805, -5.573, 0.734], [0.254, 1.043, 8.892]],
  "species": ["La", "La", "La", "La", "La", "La", "Er", "Er", "Mg"],
  "fractional_positions": [[0.830, 0.660, 0.000], [0.347, 0.175, 0.668], [0.828, 0.175, 0.332], [0.170, 0.340, 0.000], [0.653, 0.825, 0.668], [0.172, 0.825, 0.332], [0.000, 0.500, 0.664], [0.500, 0.500, 0.336], [0.500, 0.000, 0.000]]
}

---

6.
{
  "formula": "La5Er2Mg",
  "functional": "GGA-PBE",
  "state": "optimized geometry",
  "lattice_angstrom": [[-4.534, 3.020, -4.720], [7.014, -0.288, -1.635], [-3.816, -6.114, 0.132]],
  "species": ["La", "La", "La", "La", "La", "Er", "Er", "Mg"],
  "fractional_positions": [[0.278, 0.278, 0.500], [0.281, 0.778, 0.002], [0.778, 0.278, 0.001], [0.777, 0.778, 0.497], [0.275, 0.274, 0.998], [0.278, 0.778, 0.500], [0.779, 0.281, 0.502], [0.778, 0.777, 0.999]]
}

---

7.
{
  "formula": "LaEr5Mg4",
  "functional": "GGA-PBE",
  "state": "optimized geometry",
  "lattice_angstrom": [[-3.331, 0.798, -1.522], [0.144, -3.178, -1.980], [-9.157, -9.725, 14.945]],
  "species": ["La", "Er", "Er", "Er", "Er", "Er", "Mg", "Mg", "Mg", "Mg"],
  "fractional_positions": [[0.000, 0.000, 0.000], [0.500, 0.500, 0.124], [0.500, 0.500, 0.312], [0.500, 0.500, 0.500], [0.500, 0.500, 0.688], [0.500, 0.500, 0.876], [0.000, 0.000, 0.218], [0.000, 0.000, 0.406], [0.000, 0.000, 0.594], [0.000, 0.000, 0.782]]
}

---

8.
{
  "formula": "LaErMg6",
  "functional": "GGA-PBE",
  "state": "optimized geometry",
  "lattice_angstrom": [[5.232, 0.000, 0.000], [0.000, 6.774, -0.219], [0.000, -3.195, 5.977]],
  "species": ["La", "Er", "Mg", "Mg", "Mg", "Mg", "Mg", "Mg"],
  "fractional_positions": [[0.000, 0.084, 0.916], [0.500, 0.416, 0.584], [0.000, 0.080, 0.415], [0.000, 0.585, 0.920], [0.000, 0.585, 0.415], [0.500, 0.430, 0.091], [0.500, 0.909, 0.570], [0.500, 0.910, 0.090]]
}

---

9.
{
  "formula": "LaEr14Mg",
  "functional": "GGA-PBE",
  "state": "optimized geometry",
  "lattice_angstrom": [[6.927, 0.986, 0.000], [-0.985, 6.927, 0.000], [0.000, 0.000, 9.940]],
  "species": ["La", "Er", "Er", "Er", "Er", "Er", "Er", "Er", "Er", "Er", "Er", "Er", "Er", "Er", "Er", "Mg"],
  "fractional_positions": [[0.625, 0.375, 0.500], [0.125, 0.875, 0.000], [0.625, 0.375, 0.000], [0.125, 0.375, 0.500], [0.125, 0.375, 0.000], [0.625, 0.875, 0.500], [0.625, 0.875, 0.000], [0.375, 0.125, 0.752], [0.375, 0.125, 0.248], [0.875, 0.625, 0.752], [0.875, 0.625, 0.248], [0.375, 0.625, 0.752], [0.375, 0.625, 0.248], [0.875, 0.125, 0.752], [0.875, 0.125, 0.248], [0.125, 0.875, 0.500]]
}

---

10.
{
  "formula": "La14ErMg",
  "functional": "GGA-PBE",
  "state": "optimized geometry",
  "lattice_angstrom": [[-0.319, -7.091, -1.893], [-0.861, -1.841, 7.059], [-10.418, 0.755, -1.074]],
  "species": ["La", "La", "La", "La", "La", "La", "La", "La", "La", "La", "La", "La", "La", "La", "Er", "Mg"],
  "fractional_positions": [[0.375, 0.625, 0.500], [0.876, 0.124, 0.500], [0.873, 0.624, 0.000], [0.876, 0.626, 0.500], [0.376, 0.127, 0.000], [0.374, 0.124, 0.500], [0.624, 0.874, 0.753], [0.624, 0.874, 0.247], [0.126, 0.376, 0.753], [0.126, 0.376, 0.247], [0.126, 0.874, 0.754], [0.126, 0.874, 0.246], [0.624, 0.376, 0.752], [0.624, 0.376, 0.248], [0.875, 0.125, 0.000], [0.375, 0.625, 0.000]]
}

---

11.
{
  "formula": "LaNd2ErMg",
  "functional": "GGA-PBE",
  "state": "optimized geometry",
  "lattice_angstrom": [[5.710, 0.000, 0.000], [0.000, 6.234, 1.072], [0.000, 1.795, 9.418]],
  "species": ["La", "La", "Nd", "Nd", "Nd", "Nd", "Er", "Er", "Mg", "Mg"],
  "fractional_positions": [[0.750, 0.351, 0.613], [0.250, 0.649, 0.387], [0.750, 0.737, 0.807], [0.250, 0.263, 0.193], [0.250, 0.016, 0.608], [0.750, 0.984, 0.392], [0.250, 0.848, 0.001], [0.750, 0.152, 0.999], [0.750, 0.582, 0.191], [0.250, 0.418, 0.809]]
}

---

12.
{
  "formula": "La3Nd6Er2Mg",
  "functional": "GGA-PBE",
  "state": "optimized geometry",
  "lattice_angstrom": [[6.325, -0.005, 0.007], [-3.166, 5.476, 0.007], [-1.077, -1.865, 11.766]],
  "species": ["La", "La", "La", "Nd", "Nd", "Nd", "Nd", "Nd", "Nd", "Er", "Er", "Mg"],
  "fractional_positions": [[0.168, 0.832, 0.500], [0.832, 0.168, 0.500], [0.500, 0.500, 0.500], [0.921, 0.589, 0.759], [0.749, 0.749, 0.243], [0.079, 0.411, 0.241], [0.589, 0.921, 0.759], [0.251, 0.251, 0.757], [0.411, 0.079, 0.241], [0.334, 0.666, 0.000], [0.666, 0.334, 0.000], [0.000, 0.000, 0.000]]
}

---

| no. | formation energy from the elements (eV/atom) |
| --- | --- |
| 1 | 0.13 |
| 2 | 0.03 |
| 3 | 0.01 |
| 4 | -0.09 |
| 5 | 0.07 |
| 6 | 0.00 |
| 7 | -0.04 |
| 8 | -0.07 |
| 9 | 0.02 |
| 10 | 0.00 |
| 11 | 0.02 |
| 12 | 0.03 |